No. 1
CaNdCoO4 (GGA-PBEsol, relaxed); VASP energy = -7.5964 eV/atom; SG = Cmcm; N(E_F) = 7.66 states/eV/cell; energy relative to the lowest polymorph listed for this composition = 7 meV/atom; size of the total moment = 0.9 μB/f.u.
1.0
5.240 0.000 0.000
0.000 5.251 0.000
-2.620 0.000 5.902
Ca Nd Co O
2 2 2 8
Direct
0.607 0.250 0.215
0.393 0.750 0.785
0.113 0.750 0.227
0.887 0.250 0.773
0.251 0.250 0.501
0.749 0.750 0.499
0.000 0.500 0.500
0.500 0.000 0.500
0.500 0.500 0.500
0.000 0.000 0.500
0.917 0.750 0.835
0.415 0.250 0.829
0.083 0.250 0.165
0.585 0.750 0.171

---

No. 2
CaNdCoO4 (GGA-PBEsol, relaxed); VASP energy = -7.6029 eV/atom; SG = I4mm; N(E_F) = 2.68 states/eV/cell; energy relative to the lowest polymorph listed for this composition = 0 meV/atom; size of the total moment = 0.1 μB/f.u.
1.0
3.682 0.000 0.000
0.000 3.682 0.000
-1.841 -1.841 5.983
Nd Ca Co O
1 1 1 4
Direct
0.640 0.640 0.280
0.360 0.360 0.720
0.988 0.988 0.976
0.167 0.167 0.335
0.833 0.833 0.665
0.006 0.506 0.012
0.506 0.006 0.012

---

No. 3
CaCoNi2 (GGA-PBEsol, relaxed); VASP energy = -5.1512 eV/atom; SG = I-4m2; N(E_F) = 5.05 states/eV/cell; energy relative to the lowest polymorph listed for this composition = 339 meV/atom; size of the total moment = 2.4 μB/f.u.; energy of formation from the pure elements = 0.3952 eV/atom
1.0
3.781 0.000 0.000
0.000 3.781 0.000
-1.890 -1.890 3.822
Ca Co Ni
1 1 2
Direct
0.500 0.500 0.000
0.250 0.750 0.500
0.000 0.000 0.000
0.750 0.250 0.500

---

No. 4
CaCoNi2 (GGA-PBEsol, relaxed); VASP energy = -5.4898 eV/atom; SG = R3m; N(E_F) = 5.37 states/eV/cell; energy relative to the lowest polymorph listed for this composition = 0 meV/atom; size of the total moment = 1.9 μB/f.u.; energy of formation from the pure elements = 0.0565 eV/atom
1.0
3.978 0.000 0.000
-1.989 3.445 -0.042
0.000 -2.240 4.841
Ca Co Ni
1 1 2
Direct
0.500 0.001 0.502
0.315 0.630 0.945
0.996 0.993 0.989
0.688 0.376 0.064

---

No. 5
Ca3CoNi (GGA-PBEsol, relaxed); VASP energy = -3.4742 eV/atom; SG = Pm-3m; N(E_F) = 3.75 states/eV/cell; size of the total moment = 0.0 μB/f.u.; energy of formation from the pure elements = 0.5846 eV/atom
1.0
5.073 0.000 0.000
0.000 5.073 0.000
0.000 0.000 5.073
Ni Ca Co
1 3 1
Direct
0.500 0.500 0.500
0.000 0.500 0.000
0.000 0.000 0.500
0.500 0.000 0.000
0.000 0.000 0.000

---

No. 6
CaCoNi2 (GGA-PBEsol, relaxed); VASP energy = -5.2643 eV/atom; SG = P4mm; N(E_F) = 4.22 states/eV/cell; energy relative to the lowest polymorph listed for this composition = 225 meV/atom; size of the total moment = 2.0 μB/f.u.; energy of formation from the pure elements = 0.2820 eV/atom
1.0
2.943 0.000 0.000
0.000 2.943 0.000
0.000 0.000 6.519
Ca Co Ni
1 1 2
Direct
0.000 0.000 0.497
0.500 0.500 0.819
0.000 0.000 0.994
0.500 0.500 0.190

---

No. 7
CaCoNi2 (GGA-PBEsol, relaxed); VASP energy = -5.1868 eV/atom; SG = P4/mmm; N(E_F) = 5.18 states/eV/cell; energy relative to the lowest polymorph listed for this composition = 303 meV/atom; size of the total moment = 2.2 μB/f.u.; energy of formation from the pure elements = 0.3596 eV/atom
1.0
-2.635 1.796 -1.827
1.494 -1.193 -3.326
-2.218 -3.128 0.125
Ca Co Ni
1 1 2
Direct
0.500 0.500 0.500
0.500 0.000 0.000
0.000 0.000 0.500
0.000 0.500 0.000

---

No. 8
CaCo2O4 (GGA-PBEsol, relaxed); VASP energy = -7.0739 eV/atom; SG = I4_1/a; N(E_F) = 12.93 states/eV/cell; energy relative to the lowest polymorph listed for this composition = 121 meV/atom; size of the total moment = 4.0 μB/f.u.
1.0
5.601 0.000 0.000
-2.801 5.515 0.048
0.000 -2.886 4.801
Ca Co O
2 4 8
Direct
0.750 0.500 0.250
0.500 0.000 0.500
0.125 0.250 0.375
0.125 0.250 0.875
0.125 0.750 0.875
0.625 0.750 0.875
0.154 0.594 0.523
0.477 0.406 0.560
0.929 0.406 0.846
0.810 0.906 0.679
0.321 0.094 0.904
0.773 0.094 0.190
0.440 0.594 0.071
0.096 0.906 0.227

---

No. 9
CaCo2O4 (GGA-PBEsol, relaxed); VASP energy = -7.0876 eV/atom; SG = Fd-3m; energy relative to the lowest polymorph listed for this composition = 107 meV/atom; size of the total moment = 0.0 μB/f.u.
1.0
-4.684 1.362 3.369
-1.196 -3.199 4.847
0.803 2.357 5.380
Ca Co O
2 4 8
Direct
0.750 0.750 0.750
0.500 0.500 0.500
0.625 0.125 0.125
0.125 0.125 0.125
0.125 0.625 0.125
0.125 0.125 0.625
0.897 0.897 0.308
0.353 0.942 0.353
0.942 0.353 0.353
0.353 0.353 0.353
0.308 0.897 0.897
0.897 0.897 0.897
0.353 0.353 0.942
0.897 0.308 0.897

---

No. 10
Ca2Co3O8 (GGA-PBEsol, relaxed); VASP energy = -6.9998 eV/atom; SG = C2/m; N(E_F) = 8.26 states/eV/cell; size of the total moment = 1.2 μB/f.u.
1.0
4.884 0.000 0.018
0.000 5.736 0.000
-1.819 -2.868 5.070
Ca Co O
2 3 8
Direct
0.671 0.726 0.452
0.329 0.274 0.548
0.500 0.000 0.000
0.000 0.257 0.000
0.000 0.743 0.000
0.036 0.399 0.798
0.964 0.601 0.202
0.097 0.905 0.810
0.903 0.095 0.190
0.390 0.876 0.196
0.390 0.320 0.196
0.610 0.680 0.804
0.610 0.124 0.804

---

No. 11
Ca3Co2O6 (GGA-PBEsol, relaxed); VASP energy = -6.9666 eV/atom; SG = C2/c; N(E_F) = 10.27 states/eV/cell; size of the total moment = 4.0 μB/f.u.
1.0
-3.626 1.754 -4.738
2.651 -4.521 -3.348
-4.360 -3.861 2.259
Ca Co O
6 4 12
Direct
0.620 0.380 0.250
0.247 0.117 0.882
0.883 0.753 0.618
0.380 0.620 0.750
0.117 0.247 0.382
0.753 0.883 0.118
0.500 0.000 0.500
0.745 0.255 0.750
0.000 0.500 0.000
0.255 0.745 0.250
0.788 0.086 0.456
0.591 0.962 0.788
0.460 0.289 0.587
0.038 0.409 0.712
0.914 0.212 0.044
0.711 0.540 0.913
0.212 0.914 0.544
0.409 0.038 0.212
0.540 0.711 0.413
0.962 0.591 0.288
0.289 0.460 0.087
0.086 0.788 0.956

---

No. 12
CaCo2O4 (GGA-PBEsol, relaxed); VASP energy = -7.1694 eV/atom; SG = Pnma; N(E_F) = 1.55 states/eV/cell; energy relative to the lowest polymorph listed for this composition = 25 meV/atom; size of the total moment = 0.0 μB/f.u.
1.0
2.903 0.000 0.000
0.000 8.675 0.000
0.000 0.000 10.184
Ca Co O
4 8 16
Direct
0.250 0.738 0.837
0.750 0.262 0.163
0.250 0.238 0.663
0.750 0.762 0.337
0.250 0.557 0.612
0.750 0.443 0.388
0.250 0.057 0.888
0.750 0.943 0.112
0.250 0.586 0.098
0.750 0.414 0.902
0.250 0.086 0.402
0.750 0.914 0.598
0.250 0.803 0.156
0.750 0.197 0.844
0.250 0.303 0.344
0.750 0.697 0.656
0.250 0.886 0.478
0.750 0.114 0.522
0.250 0.386 0.022
0.750 0.614 0.978
0.250 0.966 0.712
0.750 0.034 0.288
0.250 0.466 0.788
0.750 0.534 0.212
0.250 0.579 0.428
0.750 0.421 0.572
0.250 0.079 0.072
0.750 0.921 0.928